1.
Entry from Alexandria: an optimized crystal structure of NbHSe2N (PBE).

a b c (Å): 5.1193 5.1193 4.0121
angles (deg): 90.00 90.00 90.00
With the nearest neighbours (Å) after each atom.
Element x y z (fractional)
Nb 0.0000 0.0000 0.0000  2 N 2.01
H 0.5000 0.5000 0.5000  8 Se 3.25, 4 N 3.62
Se 0.0000 0.5000 0.0000  2 Nb 2.56
Se 0.5000 0.0000 0.0000  2 Nb 2.56
N 0.0000 0.0000 0.5000  2 Nb 2.01

Computed properties:
**Space group**: P4/mmm (123)
**Energy above the lowest structure with this stoichiometry**: 0.000 eV/atom
**V**: 21.03 Å³/atom



2.
Entry from Alexandria: an optimized crystal structure of Sm2AlHg8 (PBE).

a b c (Å): 4.6546 4.6546 12.5710
angles (deg): 90.00 90.00 90.00
With the nearest neighbours (Å) after each atom.
Element x y z (fractional)
Sm 0.0000 0.0000 0.1921  12 Hg 3.25-3.35
Sm 0.0000 0.0000 0.8079  12 Hg 3.25-3.35
Al 0.0000 0.0000 0.5000  8 Hg 2.82
Hg 0.0000 0.5000 0.0000  8 Hg 3.29-3.35, 4 Sm 3.35
Hg 0.0000 0.5000 0.3727  2 Al 2.82
Hg 0.0000 0.5000 0.6273  2 Al 2.82
Hg 0.5000 0.0000 0.0000  8 Hg 3.29-3.35, 4 Sm 3.35
Hg 0.5000 0.0000 0.3727  2 Al 2.82
Hg 0.5000 0.0000 0.6273  2 Al 2.82
Hg 0.5000 0.5000 0.1918  8 Hg 3.25-3.35, 4 Sm 3.29
Hg 0.5000 0.5000 0.8082  8 Hg 3.25-3.35, 4 Sm 3.29

Computed properties:
**Space group**: P4/mmm (123)
**V**: 24.76 Å³/atom
**Formation energy**: -0.263 eV/atom



3.
Entry from Alexandria: an optimized crystal structure of Cs2CaVI6 (PBE).

a b c (Å): 8.4641 8.4641 8.4641
angles (deg): 60.00 60.00 60.00
With the nearest neighbours (Å) after each atom.
Element x y z (fractional)
Cs 0.2500 0.2500 0.2500  12 I 4.23
Cs 0.7500 0.7500 0.7500  12 I 4.23
Ca 0.0000 0.0000 0.0000  6 I 3.12
V 0.5000 0.5000 0.5000  6 I 2.87
I 0.2604 0.2604 0.7396  1 V 2.87, 1 Ca 3.12
I 0.2604 0.7396 0.2604  1 V 2.87, 1 Ca 3.12
I 0.2604 0.7396 0.7396  1 V 2.87, 1 Ca 3.12
I 0.7396 0.2604 0.2604  1 V 2.87, 1 Ca 3.12
I 0.7396 0.2604 0.7396  1 V 2.87, 1 Ca 3.12
I 0.7396 0.7396 0.2604  1 V 2.87, 1 Ca 3.12

Computed properties:
**Space group**: Fm-3m (225)
**Energy above the lowest structure with this stoichiometry**: 0.026 eV/atom
**V**: 42.88 Å³/atom
**ΔE_f (raw)**: -1.201 eV per atom



4.
Entry from Alexandria: an optimized crystal structure of Ce3ZnIr3 (PBE).

a b c (Å): 8.5411 8.5411 5.4835
angles (deg): 90.00 90.00 120.00
With the nearest neighbours (Å) after each atom.
Element x y z (fractional)
Ce 0.0472 0.3490 0.2500  5 Ir 2.74-2.93
Ce 0.3018 0.9528 0.2500  5 Ir 2.74-2.93
Ce 0.3490 0.3018 0.7500  5 Ir 2.74-2.93
Ce 0.6510 0.6982 0.2500  5 Ir 2.74-2.93
Ce 0.6982 0.0472 0.7500  5 Ir 2.74-2.93
Ce 0.9528 0.6510 0.7500  5 Ir 2.74-2.93
Zn 0.3333 0.6667 0.7500  3 Ir 2.54
Zn 0.6667 0.3333 0.2500  3 Ir 2.54
Ir 0.0441 0.3626 0.7500  1 Zn 2.54, 3 Ce 2.74-2.83
Ir 0.3185 0.9559 0.7500  1 Zn 2.54, 3 Ce 2.74-2.83
Ir 0.3626 0.3185 0.2500  1 Zn 2.54, 3 Ce 2.74-2.83
Ir 0.6374 0.6815 0.7500  1 Zn 2.54, 3 Ce 2.74-2.83
Ir 0.6815 0.0441 0.2500  1 Zn 2.54, 3 Ce 2.74-2.83
Ir 0.9559 0.6374 0.2500  1 Zn 2.54, 3 Ce 2.74-2.83

Computed properties:
**Space group**: P6_3/m (176)
**V**: 24.75 Å³/atom
**Formation energy**: -0.496 eV/atom



5.
Entry from Alexandria: an optimized crystal structure of Er3Hf5H12 (PBE).

a b c (Å): 10.5214 10.5214 10.5214
angles (deg): 109.47 109.47 109.47
With the nearest neighbours (Å) after each atom.
Element x y z (fractional)
Er 0.1250 0.2500 0.3750  8 H 2.16-2.26
Er 0.1250 0.3750 0.7500  8 H 2.16-2.26
Er 0.2500 0.3750 0.1250  8 H 2.16-2.26
Er 0.2500 0.8750 0.6250  8 H 2.16-2.26
Er 0.3750 0.1250 0.2500  8 H 2.16-2.26
Er 0.3750 0.7500 0.1250  8 H 2.16-2.26
Er 0.6250 0.2500 0.8750  8 H 2.16-2.26
Er 0.6250 0.8750 0.7500  8 H 2.16-2.26
Er 0.7500 0.1250 0.3750  8 H 2.16-2.26
Er 0.7500 0.6250 0.8750  8 H 2.16-2.26
Er 0.8750 0.6250 0.2500  8 H 2.16-2.26
Er 0.8750 0.7500 0.6250  8 H 2.16-2.26
Hf 0.0000 0.0000 0.0000  6 H 2.02
Hf 0.0000 0.0000 0.5000  6 H 2.02
Hf 0.0000 0.5000 0.0000  6 H 2.02
Hf 0.0000 0.5000 0.5000  6 H 2.02
Hf 0.1250 0.7500 0.8750  4 H 2.02
Hf 0.1250 0.8750 0.2500  4 H 2.02
Hf 0.2500 0.1250 0.8750  4 H 2.02
Hf 0.2500 0.6250 0.3750  4 H 2.02
Hf 0.3750 0.2500 0.6250  4 H 2.02
Hf 0.3750 0.6250 0.7500  4 H 2.02
Hf 0.5000 0.0000 0.0000  6 H 2.02
Hf 0.5000 0.0000 0.5000  6 H 2.02
Hf 0.5000 0.5000 0.0000  6 H 2.02
Hf 0.5000 0.5000 0.5000  6 H 2.02
Hf 0.6250 0.3750 0.2500  4 H 2.02
Hf 0.6250 0.7500 0.3750  4 H 2.02
Hf 0.7500 0.3750 0.6250  4 H 2.02
Hf 0.7500 0.8750 0.1250  4 H 2.02
Hf 0.8750 0.1250 0.7500  4 H 2.02
Hf 0.8750 0.2500 0.1250  4 H 2.02
H 0.0576 0.2182 0.1439  2 Hf 2.02, 1 Er 2.16
H 0.0576 0.3394 0.9137  2 Hf 2.02, 1 Er 2.16
H 0.0743 0.7183 0.6606  2 Hf 2.02, 1 Er 2.16
H 0.0743 0.8561 0.4137  2 Hf 2.02, 1 Er 2.16
H 0.0863 0.6439 0.4257  2 Hf 2.02, 1 Er 2.16
H 0.0863 0.9424 0.6606  2 Hf 2.02, 1 Er 2.16
H 0.1439 0.0576 0.2182  2 Hf 2.02, 1 Er 2.16
H 0.1439 0.5863 0.9257  2 Hf 2.02, 1 Er 2.16
H 0.1606 0.2182 0.5743  2 Hf 2.02, 1 Er 2.16
H 0.1606 0.4424 0.5863  2 Hf 2.02, 1 Er 2.16
H 0.2182 0.1439 0.0576  2 Hf 2.02, 1 Er 2.16
H 0.2182 0.5743 0.1606  2 Hf 2.02, 1 Er 2.16
H 0.2818 0.3394 0.9257  2 Hf 2.02, 1 Er 2.16
H 0.2818 0.4424 0.3561  2 Hf 2.02, 1 Er 2.16
H 0.3394 0.9137 0.0576  2 Hf 2.02, 1 Er 2.16
H 0.3394 0.9257 0.2818  2 Hf 2.02, 1 Er 2.16
H 0.3561 0.2818 0.4424  2 Hf 2.02, 1 Er 2.16
H 0.3561 0.5743 0.9137  2 Hf 2.02, 1 Er 2.16
H 0.4137 0.0743 0.8561  2 Hf 2.02, 1 Er 2.16
H 0.4137 0.8394 0.5576  2 Hf 2.02, 1 Er 2.16
H 0.4257 0.0863 0.6439  2 Hf 2.02, 1 Er 2.16
H 0.4257 0.8394 0.7817  2 Hf 2.02, 1 Er 2.16
H 0.4424 0.3561 0.2818  2 Hf 2.02, 1 Er 2.16
H 0.4424 0.5863 0.1606  2 Hf 2.02, 1 Er 2.16
H 0.5576 0.4137 0.8394  2 Hf 2.02, 1 Er 2.16
H 0.5576 0.6439 0.7183  2 Hf 2.02, 1 Er 2.16
H 0.5743 0.1606 0.2182  2 Hf 2.02, 1 Er 2.16
H 0.5743 0.9137 0.3561  2 Hf 2.02, 1 Er 2.16
H 0.5863 0.1606 0.4424  2 Hf 2.02, 1 Er 2.16
H 0.5863 0.9257 0.1439  2 Hf 2.02, 1 Er 2.16
H 0.6439 0.4257 0.0863  2 Hf 2.02, 1 Er 2.16
H 0.6439 0.7183 0.5576  2 Hf 2.02, 1 Er 2.16
H 0.6606 0.0743 0.7183  2 Hf 2.02, 1 Er 2.16
H 0.6606 0.0863 0.9424  2 Hf 2.02, 1 Er 2.16
H 0.7183 0.5576 0.6439  2 Hf 2.02, 1 Er 2.16
H 0.7183 0.6606 0.0743  2 Hf 2.02, 1 Er 2.16
H 0.7817 0.4257 0.8394  2 Hf 2.02, 1 Er 2.16
H 0.7817 0.8561 0.9424  2 Hf 2.02, 1 Er 2.16
H 0.8394 0.5576 0.4137  2 Hf 2.02, 1 Er 2.16
H 0.8394 0.7817 0.4257  2 Hf 2.02, 1 Er 2.16
H 0.8561 0.4137 0.0743  2 Hf 2.02, 1 Er 2.16
H 0.8561 0.9424 0.7817  2 Hf 2.02, 1 Er 2.16
H 0.9137 0.0576 0.3394  2 Hf 2.02, 1 Er 2.16
H 0.9137 0.3561 0.5743  2 Hf 2.02, 1 Er 2.16
H 0.9257 0.1439 0.5863  2 Hf 2.02, 1 Er 2.16
H 0.9257 0.2818 0.3394  2 Hf 2.02, 1 Er 2.16
H 0.9424 0.6606 0.0863  2 Hf 2.02, 1 Er 2.16
H 0.9424 0.7817 0.8561  2 Hf 2.02, 1 Er 2.16

Computed properties:
**Space group**: Ia-3d (230)
**V**: 11.21 Å³/atom
**E**: -5.618 eV/atom



6.
Entry from Alexandria: an optimized crystal structure of CeNdEr2P4 (PBE).

a b c (Å): 6.9934 4.0498 7.0150
angles (deg): 90.00 109.43 90.00
With the nearest neighbours (Å) after each atom.
Element x y z (fractional)
Ce 0.0000 0.0000 0.0000  6 P 2.87-2.88
Nd 0.0000 0.5000 0.5000  6 P 2.91
Er 0.5000 0.0000 0.5000  6 P 2.84-2.85
Er 0.5000 0.5000 0.0000  6 P 2.81-2.82
P 0.2576 0.5000 0.2493  3 Er 2.81-2.84, 2 Ce 2.88, 1 Nd 2.91
P 0.2591 0.0000 0.7573  3 Er 2.82-2.85, 1 Ce 2.87, 2 Nd 2.91
P 0.7409 0.0000 0.2427  3 Er 2.82-2.85, 1 Ce 2.87, 2 Nd 2.91
P 0.7424 0.5000 0.7507  3 Er 2.81-2.84, 2 Ce 2.88, 1 Nd 2.91

Computed properties:
**Space group**: P2/m (10)
**V**: 23.42 Å³/atom
**Formation energy**: -1.563 eV/atom



7.
Entry from Alexandria: an optimized crystal structure of InRe2Sb (PBE).

a b c (Å): 4.6984 4.6984 4.6984
angles (deg): 60.00 60.00 60.00
With the nearest neighbours (Å) after each atom.
Element x y z (fractional)
In 0.0000 0.0000 0.0000  4 Sb 2.88, 4 Re 2.88
Re 0.5000 0.5000 0.5000  4 Re 2.88, 4 Sb 2.88
Re 0.7500 0.7500 0.7500  4 In 2.88, 4 Re 2.88
Sb 0.2500 0.2500 0.2500  4 In 2.88, 4 Re 2.88

Computed properties:
**Space group**: F-43m (216)
**Energy above the lowest structure with this stoichiometry**: 0.630 eV/atom
**V**: 18.33 Å³/atom
**ΔE_f (raw)**: 0.875 eV per atom



8.
Entry from Alexandria: an optimized crystal structure of LaAlTeO6 (PBE).

a b c (Å): 5.1213 5.1213 10.5106
angles (deg): 90.00 90.00 120.00
With the nearest neighbours (Å) after each atom.
Element x y z (fractional)
La 0.0000 0.0000 0.0000  6 O 2.46
La 0.0000 0.0000 0.5000  6 O 2.46
Al 0.3333 0.6667 0.2500  6 O 1.93
Al 0.6667 0.3333 0.7500  6 O 1.93
Te 0.3333 0.6667 0.7500  6 O 1.95
Te 0.6667 0.3333 0.2500  6 O 1.95
O 0.0028 0.3766 0.1468  1 Al 1.93, 1 Te 1.95
O 0.0028 0.6263 0.3532  1 Al 1.93, 1 Te 1.95
O 0.3737 0.3766 0.3532  1 Al 1.93, 1 Te 1.95
O 0.3737 0.9972 0.1468  1 Al 1.93, 1 Te 1.95
O 0.3766 0.0028 0.6468  1 Al 1.93, 1 Te 1.95
O 0.3766 0.3737 0.8532  1 Al 1.93, 1 Te 1.95
O 0.6234 0.6263 0.1468  1 Al 1.93, 1 Te 1.95
O 0.6234 0.9972 0.3532  1 Al 1.93, 1 Te 1.95
O 0.6263 0.0028 0.8532  1 Al 1.93, 1 Te 1.95
O 0.6263 0.6234 0.6468  1 Al 1.93, 1 Te 1.95
O 0.9972 0.3737 0.6468  1 Al 1.93, 1 Te 1.95
O 0.9972 0.6234 0.8532  1 Al 1.93, 1 Te 1.95

Computed properties:
**Space group**: P-31c (163)
**V**: 13.26 Å³/atom
**ΔE_f (raw)**: -2.376 eV per atom



9.
Entry from Alexandria: an optimized crystal structure of MnPbS2 (PBE).

a b c (Å): 7.8960 7.8960 7.8960
angles (deg): 25.85 25.85 25.85
With the nearest neighbours (Å) after each atom.
Element x y z (fractional)
Mn 0.0000 0.0000 0.0000  6 S 2.43-2.45
Pb 0.1676 0.1676 0.1676  6 S 3.17-3.24, 6 Pb 3.53
S 0.3907 0.3907 0.3907  3 Mn 2.43
S 0.6072 0.6072 0.6072  3 Mn 2.45

Computed properties:
**Space group**: R3m (160)
**V**: 20.60 Å³/atom
**ΔE_f (raw)**: -0.434 eV per atom



10.
Entry from Alexandria: an optimized crystal structure of AlPbO3 (PBE).

a b c (Å): 3.7694 3.7694 3.7694
angles (deg): 90.00 90.00 90.00
With the nearest neighbours (Å) after each atom.
Element x y z (fractional)
Al 0.0000 0.0000 0.0000  6 O 1.88
Pb 0.5000 0.5000 0.5000  12 O 2.67
O 0.0000 0.0000 0.5000  2 Al 1.88
O 0.0000 0.5000 0.0000  2 Al 1.88
O 0.5000 0.0000 0.0000  2 Al 1.88

Computed properties:
**Space group**: Pm-3m (221)
**V**: 10.71 Å³/atom
**ΔE_f (raw)**: -1.765 eV per atom



| no. | mass density (g cm⁻³) | total magnetization (μB per atom) |
| --- | --- | --- |
| 1 | 4.20 | 0.303 |
| 2 | 11.78 | 0.000 |
| 3 | 4.33 | 0.300 |
| 4 | 10.18 | 0.006 |
| 5 | 10.42 | 0.000 |
| 6 | 6.58 | 0.056 |
| 7 | 13.79 | 0.000 |
| 8 | 5.42 | 0.000 |
| 9 | 6.57 | 0.955 |
| 10 | 8.75 | 0.000 |